1.
DFT (PBE) results for crystalline Cu4Ag5 at its relaxed geometry.

Geometry as POSCAR:
```
Cu4Ag5
1.0
4.475 -1.939 0.000
4.475 1.939 0.000
-2.893 0.000 7.940
Ag Cu
5 4
Cartesian
0.216 0.000 7.409
-0.443 0.000 1.428
5.840 0.000 0.531
6.499 0.000 6.512
-1.447 0.000 3.970
1.167 0.000 4.745
3.903 0.000 5.610
2.154 0.000 2.330
4.889 0.000 3.195
```

DFT total energy = -3.1304 eV per atom
symmetry = No. 12

=====

2.
DFT (PBE) results for crystalline Cu3Ag2 at its relaxed geometry.

Geometry as POSCAR:
```
Cu3Ag2
1.0
-5.630 -0.651 -2.087
-2.058 -0.364 5.666
-0.477 3.886 0.077
Cu Ag
6 4
Cartesian
-4.832 -0.572 -1.128
-1.189 1.811 0.839
-2.855 -0.443 4.707
-3.054 1.618 -1.005
-1.029 -0.182 2.833
-6.976 1.061 2.817
-2.797 -0.359 0.759
-4.890 -0.656 2.820
-5.108 1.330 0.771
-3.057 1.541 2.884
```

DFT total energy = -3.2768 eV per atom
symmetry = No. 84

=====

3.
DFT (PBE) results for crystalline CuAg at its relaxed geometry.

Geometry as POSCAR:
```
CuAg
1.0
-1.619 2.234 0.713
-2.122 -1.026 -1.602
-5.151 -7.375 11.512
Cu Ag
4 4
Cartesian
-0.421 -0.312 0.384
-1.453 -1.824 2.737
-3.836 -1.981 3.469
-2.810 -0.464 1.118
-6.787 -6.158 9.995
-2.597 -3.533 5.367
-4.123 -5.702 8.742
-5.216 -4.030 6.611
```

DFT total energy = -3.2277 eV per atom
symmetry = No. 1

=====

4.
DFT (PBE) results for crystalline Cu4Ag5 at its relaxed geometry.

Geometry as POSCAR:
```
Cu4Ag5
1.0
-6.827 -13.487 8.055
-6.890 -10.981 11.195
5.021 12.849 -10.153
Ag Cu
5 4
Cartesian
0.000 0.000 0.000
-1.490 -2.657 2.091
-4.490 -8.008 6.300
-9.228 -16.460 12.950
-12.228 -21.811 17.159
-6.116 -10.909 8.582
-10.591 -18.893 14.863
-7.602 -13.560 10.668
-3.126 -5.576 4.387
```

DFT total energy = -3.1488 eV per atom
symmetry = No. 139

=====

5.
DFT (PBE) results for crystalline CuAg at its relaxed geometry.

Geometry as POSCAR:
```
CuAg
1.0
2.850 0.000 0.000
0.000 3.499 0.000
0.000 0.000 14.974
Ag Cu
5 5
Cartesian
0.000 1.749 2.802
1.425 0.000 1.040
1.425 0.000 4.560
0.000 1.749 6.324
0.000 1.749 9.269
1.425 0.000 7.801
1.425 0.000 10.766
0.000 1.749 14.513
0.000 1.749 12.006
1.425 0.000 13.275
```

DFT total energy = -3.1975 eV per atom
symmetry = No. 25

=====

6.
DFT (PBE) results for crystalline CuAg at its relaxed geometry.

Geometry as POSCAR:
```
CuAg
1.0
-2.389 1.293 0.573
0.446 -0.804 3.674
4.195 7.272 1.082
Cu Ag
3 3
Cartesian
1.492 2.587 0.385
1.126 3.880 2.665
2.703 4.685 0.697
0.000 0.000 0.000
-0.174 1.625 2.329
2.427 6.135 3.001
```

DFT total energy = -3.1861 eV per atom
symmetry = No. 47

=====

7.
DFT (PBE) results for crystalline Cu7Ag2 at its relaxed geometry.

Geometry as POSCAR:
```
Cu7Ag2
1.0
0.031 6.988 -0.189
-2.473 6.498 0.723
2.204 -0.020 6.038
Cu Ag
7 2
Cartesian
-1.402 12.021 2.603
1.163 1.445 3.968
-0.460 10.482 4.363
0.373 6.034 4.262
0.221 2.984 2.208
0.000 0.000 0.000
-0.612 7.432 2.309
-0.817 4.564 0.208
0.577 8.902 6.363
```

DFT total energy = -3.4362 eV per atom
symmetry = No. 12

=====

8.
DFT (PBE) results for crystalline Cu3Ag5 at its relaxed geometry.

Geometry as POSCAR:
```
Cu3Ag5
1.0
1.321 3.585 -3.076
-1.446 3.978 -2.478
2.375 3.673 8.567
Ag Cu
5 3
Cartesian
0.504 4.577 -0.683
0.845 3.251 1.767
2.093 5.289 6.200
1.383 7.899 1.199
1.725 6.565 3.656
0.009 0.123 -0.039
1.054 9.362 -1.289
0.202 6.041 -3.043
```

DFT total energy = -3.0773 eV per atom
symmetry = No. 8

=====

9.
DFT (PBE) results for crystalline CuAg2 at its relaxed geometry.

Geometry as POSCAR:
```
CuAg2
1.0
7.131 -1.452 0.000
7.131 1.452 0.000
-4.120 0.000 6.931
Ag Cu
6 3
Cartesian
11.919 0.000 0.126
10.752 0.000 4.604
9.021 0.000 2.269
1.121 0.000 4.663
-1.777 0.000 6.805
-0.610 0.000 2.327
7.131 0.000 0.000
4.207 0.000 2.371
5.935 0.000 4.560
```

DFT total energy = -3.0396 eV per atom
symmetry = No. 12

=====

10.
DFT (PBE) results for crystalline CuAg at its relaxed geometry.

Geometry as POSCAR:
```
CuAg
1.0
4.772 0.000 0.000
-0.814 4.769 0.000
-1.705 -2.488 6.573
Cu Ag
5 5
Cartesian
2.994 -2.425 6.501
1.563 -1.261 3.427
1.417 -0.395 5.823
-0.824 -0.871 4.626
-0.054 1.908 5.261
3.120 3.097 1.990
0.686 2.648 0.488
0.004 0.908 2.704
2.369 1.322 4.091
2.334 0.461 1.239
```

DFT total energy = -3.1785 eV per atom
symmetry = No. 1

=====

11.
DFT (PBE) results for crystalline CuAg at its relaxed geometry.

Geometry as POSCAR:
```
CuAg
1.0
6.887 0.000 0.000
0.000 2.841 0.000
-1.110 0.000 7.607
Ag Cu
5 5
Cartesian
2.840 1.421 3.750
0.621 1.421 1.984
3.029 0.000 6.279
0.532 0.000 4.789
5.202 0.000 3.031
4.937 1.421 0.778
5.671 0.000 7.368
2.916 0.000 1.367
5.180 1.421 5.376
0.844 1.421 7.116
```

DFT total energy = -3.1942 eV per atom
symmetry = No. 6

=====

12.
DFT (PBE) results for crystalline CuAg at its relaxed geometry.

Geometry as POSCAR:
```
CuAg
1.0
2.852 0.000 0.000
0.000 2.852 0.000
0.000 0.000 18.261
Ag Cu
5 5
Cartesian
1.426 1.426 12.916
0.000 0.000 7.734
1.426 1.426 1.321
0.000 0.000 3.469
1.426 1.426 5.595
1.426 1.426 16.260
0.000 0.000 14.775
0.000 0.000 17.740
1.426 1.426 9.572
0.000 0.000 11.054
```

DFT total energy = -3.2157 eV per atom
symmetry = No. 99

=====

13.
DFT (PBE) results for crystalline Cu4Ag5 at its relaxed geometry.

Geometry as POSCAR:
```
Cu4Ag5
1.0
7.106 -1.417 0.000
7.106 1.417 0.000
-0.286 0.000 6.808
Ag Cu
5 4
Cartesian
3.975 0.000 1.231
5.355 0.000 5.706
9.951 0.000 5.577
6.963 0.000 3.404
8.570 0.000 1.102
0.549 0.000 5.649
2.274 0.000 3.366
11.652 0.000 3.442
13.376 0.000 1.159
```

DFT total energy = -3.1303 eV per atom
symmetry = No. 12

=====

14.
DFT (PBE) results for crystalline Cu3Ag2 at its relaxed geometry.

Geometry as POSCAR:
```
Cu3Ag2
1.0
5.794 -1.378 0.000
5.794 1.378 0.000
-1.646 0.000 8.973
Ag Cu
4 6
Cartesian
4.969 0.000 4.347
5.649 0.000 7.208
9.136 0.000 6.201
2.085 0.000 8.286
0.107 0.000 0.212
0.719 0.000 2.614
7.938 0.000 1.029
8.518 0.000 3.468
1.313 0.000 5.176
4.305 0.000 1.839
```

DFT total energy = -3.2698 eV per atom
symmetry = No. 8

=====

15.
DFT (PBE) results for crystalline Cu2Ag5 at its relaxed geometry.

Geometry as POSCAR:
```
Cu2Ag5
1.0
-5.325 10.832 10.880
-3.192 9.859 12.516
-2.712 11.971 10.649
Cu Ag
2 5
Cartesian
-9.580 27.866 29.046
-1.649 4.796 4.999
-8.053 23.424 24.416
-3.176 9.238 9.629
-6.347 18.462 19.244
0.000 0.000 0.000
-4.882 14.200 14.801
```

DFT total energy = -3.0157 eV per atom
symmetry = No. 166

=====

16.
DFT (PBE) results for crystalline CuAg at its relaxed geometry.

Geometry as POSCAR:
```
CuAg
1.0
1.410 0.814 21.898
-1.410 0.814 21.898
0.000 -1.628 21.898
Cu Ag
5 5
Cartesian
0.000 0.000 58.985
0.000 0.000 13.296
0.000 0.000 6.475
0.000 0.000 0.182
0.000 0.000 45.883
0.000 0.000 39.281
0.000 0.000 33.010
0.000 0.000 19.878
0.000 0.000 52.443
0.000 0.000 26.188
```

DFT total energy = -3.1683 eV per atom
symmetry = No. 160

=====

17.
DFT (PBE) results for crystalline CuAg at its relaxed geometry.

Geometry as POSCAR:
```
CuAg
1.0
-9.073 -1.916 0.316
3.181 -3.908 -8.655
2.047 -6.227 7.695
Ag Cu
28 28
Cartesian
-3.174 -8.594 -0.241
-2.587 -8.607 -3.640
-2.003 -5.989 -0.037
-6.583 -8.132 4.873
-0.344 -3.322 -3.271
-0.691 -8.036 -1.507
-5.396 -7.964 -4.065
-6.672 -5.889 -2.549
-4.116 -1.886 -0.367
-5.924 -5.758 -8.084
-1.355 -8.182 4.014
0.888 -5.473 -4.748
0.410 -5.357 -1.357
-4.624 -4.510 -3.872
-1.512 -6.003 -3.444
-4.643 -9.975 -2.220
-0.229 -5.587 4.176
-2.766 -6.089 5.363
3.126 -6.047 -0.950
-3.899 -8.757 5.230
-3.908 -6.597 -2.076
-1.563 -1.388 -1.577
-1.825 -10.665 -1.741
1.168 -2.056 -1.174
-5.170 -4.544 -0.502
1.620 -7.436 -2.976
-2.693 -3.959 -1.786
2.357 -9.464 -1.134
-3.157 -3.941 1.203
1.250 -7.550 0.297
-3.510 -6.451 -5.255
2.786 -3.918 -5.808
1.018 -7.644 2.766
-4.707 -6.594 3.560
0.175 -5.593 1.483
-2.226 -3.951 -5.071
-7.357 -6.050 3.265
0.075 -3.401 -6.133
-1.058 -8.093 1.363
0.026 -10.054 0.148
-0.748 -3.495 0.146
-6.422 -2.480 0.919
-3.571 -8.547 2.416
1.969 -4.062 0.468
3.949 -8.098 0.628
-1.931 -1.576 1.282
0.812 -2.105 1.621
-2.245 -10.572 1.198
-3.468 -4.084 3.695
-1.089 -3.648 2.616
3.658 -8.202 3.097
-6.244 -8.039 2.108
-5.550 -4.488 2.240
-2.366 -6.081 2.574
-1.213 -5.943 -6.298
-4.429 -6.501 1.100
```

DFT total energy = -3.1916 eV per atom
symmetry = No. 1

=====

18.
DFT (PBE) results for crystalline Cu2Ag7 at its relaxed geometry.

Geometry as POSCAR:
```
Cu2Ag7
1.0
-3.706 1.395 -4.934
-1.902 -0.575 -6.007
-4.406 -6.313 4.188
Ag Cu
7 2
Cartesian
-7.114 -1.348 -9.492
-2.899 -4.145 2.739
-2.374 -0.453 -3.162
-5.201 -4.543 -0.402
-7.639 -5.040 -3.591
0.000 0.000 0.000
-4.812 -0.950 -6.351
-6.188 -2.915 -5.054
-3.825 -2.578 -1.699
```

DFT total energy = -2.9628 eV per atom
symmetry = No. 12

=====

19.
DFT (PBE) results for crystalline Cu5Ag3 at its relaxed geometry.

Geometry as POSCAR:
```
Cu5Ag3
1.0
2.784 0.000 0.000
0.000 2.784 0.000
0.000 0.000 14.582
Ag Cu
3 5
Cartesian
0.000 0.000 1.895
1.392 1.392 7.291
0.000 0.000 12.688
0.000 0.000 5.365
1.392 1.392 10.779
1.392 1.392 0.000
0.000 0.000 9.217
1.392 1.392 3.803
```

DFT total energy = -3.2972 eV per atom
symmetry = No. 123

=====

20.
DFT (PBE) results for crystalline CuAg at its relaxed geometry.

Geometry as POSCAR:
```
CuAg
1.0
-0.187 2.253 1.646
-0.592 -1.644 2.183
18.381 -1.364 3.958
Cu Ag
5 5
Cartesian
10.745 -0.522 4.312
9.625 -0.714 2.073
16.366 -1.214 3.524
14.469 -0.798 5.114
17.480 -1.021 5.763
5.634 -0.418 1.213
1.330 -0.099 0.286
3.109 0.045 2.668
13.005 -0.965 2.801
7.384 -0.272 3.588
```

DFT total energy = -3.2121 eV per atom
symmetry = No. 99